Record 1
CeYErTm2, relaxed, DFT PBE; space-group type = No. 51; energy of formation = 0.300 eV/atom; DOS at the Fermi energy = 19.78 states/eV/cell
1.0
7.404 0.000 0.000
0.000 7.309 1.337
0.000 -1.033 5.641
Y Er Tm Ce
2 2 4 2
direct
0.844 0.500 0.250 Y
0.156 0.500 0.750 Y
0.623 0.000 0.250 Er
0.377 0.000 0.750 Er
0.328 0.288 0.250 Tm
0.672 0.288 0.750 Tm
0.328 0.712 0.250 Tm
0.672 0.712 0.750 Tm
0.000 0.000 0.000 Ce
0.000 0.000 0.500 Ce

Record 2
CeY3Er2Tm6, relaxed, DFT PBE; space-group type = No. 12; energy of formation = 0.042 eV/atom; DOS at the Fermi energy = 19.85 states/eV/cell
1.0
6.091 0.001 0.020
-3.043 5.276 0.020
-1.052 -1.822 11.460
Tm Y Er Ce
6 3 2 1
direct
0.083 0.414 0.248 Tm
0.414 0.083 0.248 Tm
0.752 0.752 0.248 Tm
0.586 0.917 0.752 Tm
0.248 0.248 0.752 Tm
0.917 0.586 0.752 Tm
0.500 0.500 0.500 Y
0.832 0.168 0.500 Y
0.168 0.832 0.500 Y
0.333 0.667 0.000 Er
0.667 0.333 0.000 Er
0.000 0.000 0.000 Ce

Record 3
CeY2ErTm, relaxed, DFT PBE; space-group type = No. 51; energy of formation = 0.307 eV/atom; DOS at the Fermi energy = 20.67 states/eV/cell
1.0
-3.295 -2.760 -6.104
1.654 -6.935 2.243
-4.998 -0.279 2.824
Er Ce Tm Y
2 2 2 4
direct
0.853 0.500 0.250 Er
0.147 0.500 0.750 Er
0.000 0.000 0.500 Ce
0.000 0.000 0.000 Ce
0.622 0.000 0.250 Tm
0.378 0.000 0.750 Tm
0.673 0.288 0.750 Y
0.673 0.712 0.750 Y
0.327 0.712 0.250 Y
0.327 0.288 0.250 Y

Record 4
CeYEr2Tm, relaxed, DFT PBE; space-group type = No. 51; energy of formation = 0.295 eV/atom; DOS at the Fermi energy = 19.32 states/eV/cell
1.0
-2.024 -5.555 4.341
7.169 -1.854 0.971
0.282 3.496 4.602
Y Ce Tm Er
2 2 2 4
direct
0.843 0.500 0.250 Y
0.157 0.500 0.750 Y
0.000 0.000 0.500 Ce
0.000 0.000 0.000 Ce
0.380 0.000 0.750 Tm
0.620 0.000 0.250 Tm
0.674 0.711 0.750 Er
0.326 0.289 0.250 Er
0.326 0.711 0.250 Er
0.674 0.289 0.750 Er

Record 5
Ce2Y3ErTm6, relaxed, DFT PBE; space-group type = No. 12; energy of formation = 0.050 eV/atom; DOS at the Fermi energy = 21.87 states/eV/cell
1.0
6.085 0.000 0.008
-3.041 5.271 0.008
-1.029 -1.782 11.450
Ce Tm Er Y
2 6 1 3
direct
0.333 0.667 0.000 Ce
0.667 0.333 0.000 Ce
0.418 0.083 0.248 Tm
0.748 0.748 0.248 Tm
0.917 0.582 0.752 Tm
0.083 0.418 0.248 Tm
0.252 0.252 0.752 Tm
0.582 0.917 0.752 Tm
0.000 0.000 0.000 Er
0.500 0.500 0.500 Y
0.834 0.166 0.500 Y
0.166 0.834 0.500 Y

Record 6
CeYErTm, relaxed, DFT PBE; space-group type = No. 216; energy of formation = 0.152 eV/atom; DOS at the Fermi energy = 9.20 states/eV/cell
1.0
5.626 0.000 0.000
2.813 4.872 0.000
2.813 1.624 4.594
Y Tm Er Ce
1 1 1 1
direct
0.750 0.750 0.750 Y
0.000 0.000 0.000 Tm
0.500 0.500 0.500 Er
0.250 0.250 0.250 Ce

Record 7
CeErTmZn, relaxed, DFT PBE; space-group type = No. 216; energy of formation = 0.052 eV/atom; DOS at the Fermi energy = 6.26 states/eV/cell
1.0
5.288 0.000 0.000
2.644 4.579 0.000
2.644 1.526 4.317
Ce Tm Er Zn
1 1 1 1
direct
0.750 0.750 0.750 Ce
0.500 0.500 0.500 Tm
0.250 0.250 0.250 Er
0.000 0.000 0.000 Zn

Record 8
CeErV, relaxed, DFT PBE; space-group type = No. 12; energy of formation = 0.312 eV/atom; DOS at the Fermi energy = 10.82 states/eV/cell
1.0
3.852 0.000 0.000
1.926 5.915 -0.068
1.926 1.948 6.321
V Ce Er
2 2 2
direct
0.882 0.537 0.698 V
0.118 0.463 0.302 V
0.847 0.276 0.030 Ce
0.153 0.724 0.970 Ce
0.396 0.828 0.380 Er
0.604 0.172 0.620 Er

Record 9
CeYEr, relaxed, DFT PBE; space-group type = No. 11; energy of formation = 0.091 eV/atom; DOS at the Fermi energy = 14.14 states/eV/cell
1.0
5.352 0.000 -0.001
0.000 3.466 -0.001
0.001 -1.733 10.011
Ce Er Y
2 2 2
direct
0.847 0.785 0.994 Ce
0.347 0.204 0.830 Ce
0.347 0.038 0.496 Er
0.847 0.952 0.328 Er
0.347 0.377 0.178 Y
0.847 0.613 0.645 Y

Record 10
CeY2Er5, relaxed, DFT PBE; space-group type = No. 55; energy of formation = 0.046 eV/atom; DOS at the Fermi energy = 24.52 states/eV/cell
1.0
-3.568 -2.340 -2.582
-0.852 -4.561 5.313
-9.713 8.488 5.729
Er Y Ce
10 4 2
direct
0.000 0.998 0.250 Er
0.500 0.746 0.124 Er
0.000 0.500 0.500 Er
0.000 0.502 0.750 Er
0.000 0.498 0.250 Er
0.500 0.254 0.876 Er
0.000 0.000 0.000 Er
0.000 0.002 0.750 Er
0.500 0.754 0.624 Er
0.500 0.246 0.376 Er
0.500 0.748 0.876 Y
0.500 0.248 0.624 Y
0.500 0.252 0.124 Y
0.500 0.752 0.376 Y
0.000 0.500 0.000 Ce
0.000 0.000 0.500 Ce

Record 11
CeYEr, relaxed, DFT PBE; space-group type = No. 64; energy of formation = 0.495 eV/atom; DOS at the Fermi energy = 29.34 states/eV/cell
1.0
3.082 -11.988 0.000
3.082 11.988 0.000
0.000 0.000 5.379
Ce Er Y
4 4 4
direct
0.125 0.625 0.250 Ce
0.375 0.875 0.750 Ce
0.625 0.125 0.250 Ce
0.875 0.375 0.750 Ce
0.136 0.136 0.277 Er
0.636 0.636 0.223 Er
0.864 0.864 0.723 Er
0.364 0.364 0.777 Er
0.879 0.121 0.000 Y
0.379 0.621 0.500 Y
0.121 0.879 0.000 Y
0.621 0.379 0.500 Y

Record 12
Ce2Y8Er3, relaxed, DFT PBE; space-group type = No. 55; energy of formation = 0.168 eV/atom; DOS at the Fermi energy = 50.54 states/eV/cell
1.0
3.491 0.000 0.000
0.000 11.599 0.000
0.000 0.000 20.764
Y Ce Er
16 4 6
direct
0.500 0.048 0.428 Y
0.500 0.124 0.712 Y
0.000 0.211 0.553 Y
0.000 0.711 0.947 Y
0.500 0.952 0.572 Y
0.500 0.624 0.788 Y
0.000 0.046 0.161 Y
0.500 0.548 0.072 Y
0.000 0.454 0.661 Y
0.500 0.876 0.288 Y
0.000 0.546 0.339 Y
0.000 0.789 0.447 Y
0.500 0.452 0.928 Y
0.000 0.289 0.053 Y
0.000 0.954 0.839 Y
0.500 0.376 0.212 Y
0.500 0.679 0.595 Ce
0.500 0.179 0.905 Ce
0.500 0.321 0.405 Ce
0.500 0.821 0.095 Ce
0.000 0.155 0.300 Er
0.000 0.345 0.800 Er
0.000 0.500 0.500 Er
0.000 0.655 0.200 Er
0.000 0.000 0.000 Er
0.000 0.845 0.700 Er

Record 13
CeY4Er4, relaxed, DFT PBE; space-group type = No. 139; energy of formation = 0.046 eV/atom; DOS at the Fermi energy = 15.48 states/eV/cell
1.0
5.014 0.000 0.000
2.507 7.507 0.000
2.507 0.000 7.507
Er Y Ce
4 4 1
direct
0.335 0.330 0.000 Er
0.665 0.000 0.670 Er
0.665 0.670 0.000 Er
0.335 0.000 0.330 Er
0.669 0.331 0.331 Y
0.000 0.331 0.669 Y
0.000 0.669 0.331 Y
0.331 0.669 0.669 Y
0.000 0.000 0.000 Ce

Record 14
CeY6Er5, relaxed, DFT PBE; space-group type = No. 12; energy of formation = 0.043 eV/atom; DOS at the Fermi energy = 20.16 states/eV/cell
1.0
5.046 0.000 3.507
2.523 5.317 1.754
1.805 0.000 15.358
Y Er Ce
6 5 1
direct
0.252 0.000 0.250 Y
0.915 0.669 0.250 Y
0.085 0.331 0.750 Y
0.417 0.669 0.750 Y
0.583 0.331 0.250 Y
0.748 0.000 0.750 Y
0.667 0.667 0.000 Er
0.167 0.665 0.500 Er
0.500 0.000 0.500 Er
0.333 0.333 0.000 Er
0.833 0.335 0.500 Er
0.000 0.000 0.000 Ce

Record 15
CeY4Er, relaxed, DFT PBE; space-group type = No. 191; energy of formation = 0.098 eV/atom; DOS at the Fermi energy = 24.01 states/eV/cell
1.0
-2.427 -4.880 -8.156
4.709 1.878 -2.525
-1.296 -7.379 4.801
Y Ce Er
8 2 2
direct
0.667 0.746 0.746 Y
0.833 0.246 0.746 Y
0.333 0.254 0.254 Y
0.167 0.754 0.254 Y
0.333 0.747 0.746 Y
0.667 0.253 0.254 Y
0.167 0.247 0.746 Y
0.833 0.753 0.254 Y
0.000 0.000 0.000 Ce
0.500 0.500 0.000 Ce
0.500 0.000 0.500 Er
0.000 0.500 0.500 Er

Record 16
CeY2Er8, relaxed, DFT PBE; space-group type = No. 12; energy of formation = 0.041 eV/atom; DOS at the Fermi energy = 17.29 states/eV/cell
1.0
4.811 0.000 -1.281
-0.517 7.617 -1.942
-0.093 -0.075 9.324
Er Ce Y
8 1 2
direct
0.410 0.546 0.820 Er
0.956 0.270 0.911 Er
0.864 0.821 0.729 Er
0.590 0.454 0.180 Er
0.136 0.179 0.271 Er
0.044 0.730 0.089 Er
0.320 0.093 0.640 Er
0.680 0.907 0.360 Er
0.500 0.000 0.000 Ce
0.772 0.362 0.543 Y
0.228 0.638 0.457 Y

Record 17
CeY2Er8, relaxed, DFT PBE; space-group type = No. 12; energy of formation = 0.177 eV/atom; DOS at the Fermi energy = 21.99 states/eV/cell
1.0
-3.425 -4.315 0.000
5.397 -3.679 -7.713
8.077 -5.806 -1.788
Er Y Ce
8 2 1
direct
0.233 0.186 0.186 Er
0.733 0.867 0.397 Er
0.267 0.603 0.133 Er
0.767 0.814 0.814 Er
0.238 0.547 0.547 Er
0.733 0.397 0.867 Er
0.762 0.453 0.453 Er
0.267 0.133 0.603 Er
0.249 0.716 0.716 Y
0.751 0.284 0.284 Y
0.000 0.000 0.000 Ce

Record 18
CeYEr5, relaxed, DFT PBE; space-group type = No. 15; energy of formation = 0.134 eV/atom; DOS at the Fermi energy = 29.42 states/eV/cell
1.0
-9.359 1.168 1.362
5.114 -1.923 3.455
2.166 8.594 7.515
Ce Y Er
2 2 10
direct
0.000 0.000 0.000 Ce
0.000 0.000 0.500 Ce
0.492 0.000 0.750 Y
0.508 0.000 0.250 Y
0.032 0.418 0.164 Er
0.613 0.582 0.336 Er
0.234 0.769 0.535 Er
0.968 0.582 0.836 Er
0.766 0.231 0.465 Er
0.535 0.769 0.035 Er
0.840 0.000 0.750 Er
0.160 0.000 0.250 Er
0.465 0.231 0.965 Er
0.387 0.418 0.664 Er

Record 19
Ce2Y6Er5, relaxed, DFT PBE; space-group type = No. 55; energy of formation = 0.140 eV/atom; DOS at the Fermi energy = 49.79 states/eV/cell
1.0
3.565 0.000 0.000
0.000 11.619 0.000
0.000 0.000 20.177
Er Y Ce
10 12 4
direct
0.500 0.000 0.500 Er
0.500 0.699 0.554 Er
0.500 0.590 0.278 Er
0.500 0.910 0.778 Er
0.500 0.301 0.446 Er
0.500 0.410 0.722 Er
0.500 0.199 0.946 Er
0.500 0.801 0.054 Er
0.500 0.090 0.222 Er
0.500 0.500 0.000 Er
0.000 0.582 0.135 Y
0.000 0.418 0.865 Y
0.000 0.940 0.923 Y
0.500 0.177 0.630 Y
0.000 0.082 0.365 Y
0.500 0.823 0.370 Y
0.000 0.060 0.077 Y
0.000 0.918 0.635 Y
0.500 0.323 0.130 Y
0.000 0.440 0.577 Y
0.500 0.677 0.870 Y
0.000 0.560 0.423 Y
0.000 0.170 0.783 Ce
0.000 0.830 0.217 Ce
0.000 0.670 0.717 Ce
0.000 0.330 0.283 Ce

Record 20
CeY2Er5, relaxed, DFT PBE; space-group type = No. 107; energy of formation = 0.042 eV/atom; DOS at the Fermi energy = 12.44 states/eV/cell
1.0
6.169 -0.197 -3.388
-3.963 5.814 -0.260
-0.134 0.197 7.037
Er Y Ce
5 2 1
direct
0.500 0.722 0.722 Er
0.000 0.722 0.722 Er
0.000 0.222 0.722 Er
0.500 0.222 0.222 Er
0.000 0.722 0.222 Er
0.500 0.222 0.722 Y
0.500 0.722 0.222 Y
0.000 0.222 0.222 Ce